# 1
DFT (PBE) results for a geometry-optimized Tb2TiCu structure.

abc: 3.380 3.380 7.924
angles: 90.00 90.00 90.00
Element x y z (fractional)
Tb 0.000 0.000 0.231
Tb 0.000 0.000 0.769
Ti 0.500 0.500 0.500
Cu 0.500 0.500 0.000

Summary:
- DFT formation energy (meV/atom) = 22.0
- total magnetic moment (μB/f.u.) = 0.00
- VASP energy (eV/atom) = -5.29
- space-group type = No. 123
- density of states at the Fermi level (states/eV/f.u.) = 3.65



# 2
DFT (PBE) results for a geometry-optimized SmDy3Ho3Te8 structure.

abc: 8.664 8.664 8.664
angles: 60.02 60.02 60.02
Element x y z (fractional)
Sm 0.000 0.000 0.000
Dy 0.000 0.000 0.500
Dy 0.000 0.500 0.000
Dy 0.500 0.000 0.000
Ho 0.000 0.500 0.500
Ho 0.500 0.000 0.500
Ho 0.500 0.500 0.000
Te 0.251 0.251 0.251
Te 0.260 0.260 0.739
Te 0.260 0.739 0.260
Te 0.261 0.740 0.740
Te 0.739 0.260 0.260
Te 0.740 0.261 0.740
Te 0.740 0.740 0.261
Te 0.749 0.749 0.749

Summary:
- formation energy without anion corrections (meV/atom) = -1358.4
- total magnetic moment (μB/f.u.) = 0.00
- VASP energy (eV/atom) = -5.18
- space-group type = No. 166
- density of states at the Fermi level (states/eV/f.u.) = 6.70



# 3
DFT (PBE) results for a geometry-optimized Cd5Ag6Pd structure.

abc: 7.977 7.977 4.143
angles: 104.92 104.92 107.60
Element x y z (fractional)
Cd 0.000 0.000 0.000
Cd 0.172 0.828 0.500
Cd 0.346 0.654 0.000
Cd 0.654 0.346 0.000
Cd 0.828 0.172 0.500
Ag 0.086 0.415 0.250
Ag 0.248 0.248 0.748
Ag 0.415 0.086 0.250
Ag 0.585 0.914 0.750
Ag 0.752 0.752 0.252
Ag 0.914 0.585 0.750
Pd 0.500 0.500 0.500

Summary:
- DFT formation energy (meV/atom) = -82.7
- total magnetic moment (μB/f.u.) = 0.00
- VASP energy (eV/atom) = -2.32
- space-group type = No. 12
- density of states at the Fermi level (states/eV/f.u.) = 3.73



# 4
DFT (PBE) results for a geometry-optimized Pm2Th3N4 structure.

abc: 6.399 6.399 9.010
angles: 119.08 119.08 33.08
Element x y z (fractional)
Pm 0.109 0.109 0.390
Pm 0.891 0.891 0.610
Th 0.299 0.299 0.198
Th 0.500 0.500 0.000
Th 0.701 0.701 0.802
N 0.105 0.105 0.907
N 0.293 0.293 0.704
N 0.707 0.707 0.296
N 0.895 0.895 0.093

Summary:
- formation energy without anion corrections (meV/atom) = -1325.9
- total magnetic moment (μB/f.u.) = 0.00
- VASP energy (eV/atom) = -8.56
- space-group type = No. 12
- density of states at the Fermi level (states/eV/f.u.) = 6.13



# 5
DFT (PBE) results for a geometry-optimized YEr3ThSc structure.

abc: 7.787 4.976 9.869
angles: 90.00 108.52 90.00
Element x y z (fractional)
Y 0.173 0.250 0.297
Y 0.827 0.750 0.703
Er 0.175 0.250 0.789
Er 0.175 0.750 0.046
Er 0.175 0.750 0.542
Er 0.825 0.250 0.458
Er 0.825 0.250 0.954
Er 0.825 0.750 0.211
Th 0.499 0.750 0.875
Th 0.501 0.250 0.125
Sc 0.500 0.250 0.627
Sc 0.500 0.750 0.373

Summary:
- DFT formation energy (meV/atom) = 38.7
- total magnetic moment (μB/f.u.) = 0.00
- VASP energy (eV/atom) = -5.61
- space-group type = No. 11
- density of states at the Fermi level (states/eV/f.u.) = 9.69



# 6
DFT (PBE) results for a geometry-optimized SbOs2Au structure.

abc: 4.605 4.605 4.605
angles: 60.00 60.00 60.00
Element x y z (fractional)
Sb 0.000 0.000 0.000
Os 0.500 0.500 0.500
Os 0.750 0.750 0.750
Au 0.250 0.250 0.250

Summary:
- formation energy without anion corrections (meV/atom) = 893.9
- total magnetic moment (μB/f.u.) = 0.00
- VASP energy (eV/atom) = -6.57
- space-group type = No. 216
- density of states at the Fermi level (states/eV/f.u.) = 5.01



# 7
DFT (PBE) results for a geometry-optimized SrBePt2 structure.

abc: 5.505 5.505 5.505
angles: 144.56 129.32 63.36
Element x y z (fractional)
Sr 0.000 0.000 0.000
Be 0.284 0.784 0.500
Pt 0.442 0.442 0.000
Pt 0.714 0.214 0.500

Summary:
- DFT formation energy (meV/atom) = -248.5
- total magnetic moment (μB/f.u.) = 0.00
- VASP energy (eV/atom) = -4.62
- space-group type = No. 44
- density of states at the Fermi level (states/eV/f.u.) = 1.17



# 8
DFT (PBE) results for a geometry-optimized Ce2TlBi structure.

abc: 4.163 4.163 6.915
angles: 90.00 90.00 90.00
Element x y z (fractional)
Ce 0.000 0.000 0.250
Ce 0.000 0.000 0.750
Tl 0.500 0.500 0.000
Bi 0.500 0.500 0.500

Summary:
- DFT formation energy (meV/atom) = -446.2
- total magnetic moment (μB/f.u.) = 2.89
- VASP energy (eV/atom) = -4.97
- space-group type = No. 123
- density of states at the Fermi level (states/eV/f.u.) = 13.62



Here are the calculated ρ numbers, same order: 7.9, 7.8, 9.7, 10.0, 7.9, 16.8, 10.9, 9.6 (g/cm3).